Here is an optimized crystal structure of Cu2AgHgMo from Alexandria. Energies are from GGA-PBE.

Cell lengths 4.6906, 4.6906, 5.3158 Å; angles 90.00, 90.00, 90.00 degrees
Element x y z (fractional)
1 Cu 0.0000 0.5000 0.0000
2 Cu 0.5000 0.0000 0.0000
3 Ag 0.0000 0.0000 0.5000
4 Hg 0.5000 0.5000 0.5000
5 Mo 0.5000 0.5000 0.0000

- ΔE_f: 130 kJ/mol of atoms
- N(E_F): 4.28 states/eV/f.u.

***

Here is an optimized crystal structure of NaCuAgHg from Alexandria. Energies are from GGA-PBE.

Cell lengths 4.7555, 4.7555, 4.7555 Å; angles 60.00, 60.00, 60.00 degrees
Element x y z (fractional)
1 Na 0.0000 0.0000 0.0000
2 Cu 0.2500 0.2500 0.2500
3 Ag 0.7500 0.7500 0.7500
4 Hg 0.5000 0.5000 0.5000

- ΔE_f: 10 kJ/mol of atoms
- N(E_F): 1.58 states/eV/f.u.

***

Here is an optimized crystal structure of NaCuAgHg2 from Alexandria. Energies are from GGA-PBE.

Cell lengths 5.0861, 5.0861, 5.0528 Å; angles 90.00, 90.00, 90.00 degrees
Element x y z (fractional)
1 Na 0.0000 0.0000 0.0000
2 Cu 0.5000 0.5000 0.5000
3 Ag 0.5000 0.5000 0.0000
4 Hg 0.0000 0.5000 0.5000
5 Hg 0.5000 0.0000 0.5000

- ΔE_f: 9 kJ/mol of atoms
- N(E_F): 1.92 states/eV/f.u.

***

Here is an optimized crystal structure of Nd4CuAg2Hg from Alexandria. Energies are from GGA-PBE.

Cell lengths 9.1480, 9.1480, 9.1480 Å; angles 33.67, 33.67, 33.67 degrees
Element x y z (fractional)
1 Nd 0.1200 0.1200 0.1200
2 Nd 0.3702 0.3702 0.3702
3 Nd 0.6298 0.6298 0.6298
4 Nd 0.8800 0.8800 0.8800
5 Cu 0.0000 0.0000 0.0000
6 Ag 0.2468 0.2468 0.2468
7 Ag 0.7532 0.7532 0.7532
8 Hg 0.5000 0.5000 0.5000

- ΔE_f: -26 kJ/mol of atoms
- N(E_F): 7.70 states/eV/f.u.

***

Here is an optimized crystal structure of Nd4CuAgHg2 from Alexandria. Energies are from GGA-PBE.

Cell lengths 9.2203, 9.2203, 9.2203 Å; angles 33.60, 33.60, 33.60 degrees
Element x y z (fractional)
1 Nd 0.1213 0.1213 0.1213
2 Nd 0.3716 0.3716 0.3716
3 Nd 0.6284 0.6284 0.6284
4 Nd 0.8787 0.8787 0.8787
5 Cu 0.0000 0.0000 0.0000
6 Ag 0.5000 0.5000 0.5000
7 Hg 0.2472 0.2472 0.2472
8 Hg 0.7528 0.7528 0.7528

- ΔE_f: -31 kJ/mol of atoms
- N(E_F): 7.52 states/eV/f.u.

***

Here is an optimized crystal structure of NdCuAgHg from Alexandria. Energies are from GGA-PBE.

Cell lengths 4.9423, 4.9423, 4.9423 Å; angles 60.00, 60.00, 60.00 degrees
Element x y z (fractional)
1 Nd 0.0000 0.0000 0.0000
2 Cu 0.2500 0.2500 0.2500
3 Ag 0.7500 0.7500 0.7500
4 Hg 0.5000 0.5000 0.5000

- ΔE_f: -17 kJ/mol of atoms
- N(E_F): 4.26 states/eV/f.u.

***

Here is an optimized crystal structure of CuAg2HgP from Alexandria. Energies are from GGA-PBE.

Cell lengths 4.9399, 4.9399, 4.3821 Å; angles 90.00, 90.00, 90.00 degrees
Element x y z (fractional)
1 Cu 0.0000 0.0000 0.0000
2 Ag 0.0000 0.5000 0.5000
3 Ag 0.5000 0.0000 0.5000
4 Hg 0.5000 0.5000 0.0000
5 P 0.0000 0.0000 0.5000

- ΔE_f: 14 kJ/mol of atoms
- N(E_F): 0.46 states/eV/f.u.

***

Here is an optimized crystal structure of PaCuAgHg from Alexandria. Energies are from GGA-PBE.

Cell lengths 4.8562, 4.8562, 4.8562 Å; angles 60.00, 60.00, 60.00 degrees
Element x y z (fractional)
1 Pa 0.0000 0.0000 0.0000
2 Cu 0.2500 0.2500 0.2500
3 Ag 0.7500 0.7500 0.7500
4 Hg 0.5000 0.5000 0.5000

- ΔE_f: 12 kJ/mol of atoms
- N(E_F): 3.17 states/eV/f.u.

***

Here is an optimized crystal structure of CuAgHgPd from Alexandria. Energies are from GGA-PBE.

Cell lengths 4.5618, 4.5618, 4.5618 Å; angles 60.00, 60.00, 60.00 degrees
Element x y z (fractional)
1 Cu 0.0000 0.0000 0.0000
2 Ag 0.2500 0.2500 0.2500
3 Hg 0.7500 0.7500 0.7500
4 Pd 0.5000 0.5000 0.5000

- ΔE_f: 1 kJ/mol of atoms
- N(E_F): 1.42 states/eV/f.u.

***

Here is an optimized crystal structure of Pm4CuAg2Hg from Alexandria. Energies are from GGA-PBE.

Cell lengths 9.0890, 9.0890, 9.0890 Å; angles 33.64, 33.64, 33.64 degrees
Element x y z (fractional)
1 Pm 0.1200 0.1200 0.1200
2 Pm 0.3703 0.3703 0.3703
3 Pm 0.6297 0.6297 0.6297
4 Pm 0.8800 0.8800 0.8800
5 Cu 0.0000 0.0000 0.0000
6 Ag 0.2471 0.2471 0.2471
7 Ag 0.7529 0.7529 0.7529
8 Hg 0.5000 0.5000 0.5000

- ΔE_f: -28 kJ/mol of atoms
- N(E_F): 6.78 states/eV/f.u.

***

Here is an optimized crystal structure of Pr4CuAgHg2 from Alexandria. Energies are from GGA-PBE.

Cell lengths 9.2851, 9.2851, 9.2851 Å; angles 33.62, 33.62, 33.62 degrees
Element x y z (fractional)
1 Pr 0.1214 0.1214 0.1214
2 Pr 0.3718 0.3718 0.3718
3 Pr 0.6282 0.6282 0.6282
4 Pr 0.8786 0.8786 0.8786
5 Cu 0.0000 0.0000 0.0000
6 Ag 0.5000 0.5000 0.5000
7 Hg 0.2474 0.2474 0.2474
8 Hg 0.7526 0.7526 0.7526

- ΔE_f: -30 kJ/mol of atoms
- N(E_F): 7.64 states/eV/f.u.

***

Here is an optimized crystal structure of PrCuAgHg from Alexandria. Energies are from GGA-PBE.

Cell lengths 4.9660, 4.9660, 4.9660 Å; angles 60.00, 60.00, 60.00 degrees
Element x y z (fractional)
1 Pr 0.0000 0.0000 0.0000
2 Cu 0.2500 0.2500 0.2500
3 Ag 0.7500 0.7500 0.7500
4 Hg 0.5000 0.5000 0.5000

- ΔE_f: -17 kJ/mol of atoms
- N(E_F): 3.98 states/eV/f.u.